No. 1
Material: InSnPd
Method: DFT, PBE
State: optimized geometry

For the formation energy from the elements, the calculation gives -155 meV per atom. As for the density: 8.188 Mg/m³. Its density of states at the Fermi level is 1.52 states/eV/f.u.

The structure belongs to space group P3m1 (No. 156); the cell edges are 4.5118, 4.5118 and 3.9108 Å and the angles 90.00°, 90.00° and 120.00°. The asymmetric unit holds In at (0.0000, 0.0000, 0.0000), Sn at (0.3333, 0.6667, 0.4874) and Pd at (0.6667, 0.3333, 0.7220).



No. 2
Material: InSn3Pd2
Method: DFT, PBE
State: optimized geometry

For the formation energy from the elements, the calculation gives -288 meV per atom. As for the density: 8.165 Mg/m³. Its density of states at the Fermi level is 2.50 states/eV/f.u.

The structure belongs to space group Cmcm (No. 63); the cell edges are 12.8237, 9.2659 and 4.6811 Å and the angles 90.00°, 90.00° and 90.00°. The asymmetric unit holds In at (0.0000, 0.1270, 0.2500), Sn at (0.0000, 0.4054, 0.7500), Sn at (0.2466, 0.1158, 0.2500) and Pd at (0.1173, 0.1537, 0.7500).



No. 3
Material: In2SnPd2
Method: DFT, PBE
State: optimized geometry

For the formation energy from the elements, the calculation gives -195 meV per atom. As for the density: 8.626 Mg/m³. Its density of states at the Fermi level is 1.83 states/eV/f.u.

The structure belongs to space group I4/mmm (No. 139); the cell edges are 4.0744, 4.0744 and 13.0148 Å and the angles 90.00°, 90.00° and 90.00°. The asymmetric unit holds In at (0.0000, 0.5000, 0.2500), Sn at (0.0000, 0.0000, 0.0000) and Pd at (0.0000, 0.0000, 0.3954).



No. 4
Material: In2Sn2Pd7
Method: DFT, PBE
State: optimized geometry

For the formation energy from the elements, the calculation gives -238 meV per atom. As for the density: 8.977 Mg/m³. Its density of states at the Fermi level is 4.08 states/eV/f.u.

The structure belongs to space group Cmmm (No. 65); the cell edges are 7.9263, 9.2210 and 6.1349 Å and the angles 90.00°, 90.00° and 90.00°. The asymmetric unit holds In at (0.1861, 0.0000, 0.0000), Sn at (0.0000, 0.2849, 0.5000), Pd at (0.0000, 0.0000, 0.5000), Pd at (0.0000, 0.5000, 0.2192) and Pd at (0.2500, 0.2500, 0.2280).